1.
An optimized crystal structure of LiFeOs. Source: Alexandria, functional PBE.

M_tot: 2.9 μB/cell
ΔE to the lowest computed polymorph: 63 meV per atom
E_tot: -0.2542 hartree per atom

Unit cell a=7.104 b=6.899 c=2.595 alpha=83.81 beta=74.90 gamma=21.30
Sites, in units of the cell vectors:
Fe 0.004 0.004 0.996
Os 0.663 0.663 0.337
Li 0.333 0.333 0.667

2.
An optimized crystal structure of LiFe2Os. Source: Alexandria, functional PBE.

M_tot: 5.1 μB/cell
E_tot: -0.2682 hartree per atom

Unit cell a=2.591 b=2.591 c=8.696 alpha=90.00 beta=90.00 gamma=115.26
Sites, in units of the cell vectors:
Li 0.000 0.000 0.498
Fe 0.500 0.500 0.235
Fe 0.000 0.000 0.007
Os 0.500 0.500 0.760

3.
An optimized crystal structure of LiFe2Os. Source: Alexandria, functional PBE.

M_tot: 3.4 μB/cell
E_tot: -0.2653 hartree per atom

Unit cell a=4.606 b=4.606 c=4.606 alpha=141.25 beta=129.45 gamma=65.46
Sites, in units of the cell vectors:
Os 0.250 0.750 0.500
Fe 0.502 0.502 0.000
Fe 0.998 0.998 0.000
Li 0.750 0.250 0.500

4.
An optimized crystal structure of LiFe2Os. Source: Alexandria, functional PBE.

M_tot: 4.3 μB/cell
E_tot: -0.2684 hartree per atom

Unit cell a=4.632 b=4.632 c=4.410 alpha=74.24 beta=74.24 gamma=33.35
Sites, in units of the cell vectors:
Fe 0.735 0.735 0.734
Fe 0.008 0.008 0.021
Os 0.263 0.263 0.215
Li 0.494 0.494 0.530

no.,energy relative to the elements (meV per atom)
1,286
2,218
3,298
4,213